[1]
{
  "formula": "LiCa2Tl5",
  "functional": "PBE-GGA",
  "state": "relaxed",
  "lattice_angstrom": [[6.869, 0.000, 0.000], [0.000, 6.869, 0.000], [0.000, 0.000, 5.075]],
  "species": ["Li", "Ca", "Ca", "Tl", "Tl", "Tl", "Tl", "Tl"],
  "fractional_positions": [[0.000, 0.000, 0.000], [0.000, 0.500, 0.500], [0.500, 0.000, 0.500], [0.000, 0.000, 0.500], [0.277, 0.277, 0.000], [0.277, 0.723, 0.000], [0.723, 0.277, 0.000], [0.723, 0.723, 0.000]],
  "total_energy_ry_per_atom": -0.172,
  "e_form_ev_per_atom": -0.124,
  "de_polymorph_ev_per_atom": 0.109,
  "vol_a3_per_cell": 239.5,
  "sg": "No. 123",
  "magmom_total_mub_per_atom": 0.00,
  "rho_g_cm3": 7.690
}

[2]
{
  "formula": "K2AuO3",
  "functional": "PBE-GGA",
  "state": "relaxed",
  "lattice_angstrom": [[6.386, 0.000, 0.000], [-3.193, 5.530, 0.000], [0.000, 0.000, 8.147]],
  "species": ["K", "K", "K", "K", "Au", "Au", "O", "O", "O", "O", "O", "O"],
  "fractional_positions": [[0.000, 0.000, 0.000], [0.000, 0.000, 0.500], [0.333, 0.667, 0.250], [0.667, 0.333, 0.750], [0.333, 0.667, 0.750], [0.667, 0.333, 0.250], [0.160, 0.319, 0.750], [0.160, 0.840, 0.750], [0.319, 0.160, 0.250], [0.681, 0.840, 0.750], [0.840, 0.160, 0.250], [0.840, 0.681, 0.250]],
  "total_energy_ry_per_atom": -0.291,
  "vol_a3_per_cell": 287.7,
  "sg": "No. 194",
  "magmom_total_mub_per_atom": 0.00,
  "rho_g_cm3": 3.731
}

[3]
{
  "formula": "AcPr5Pt2",
  "functional": "PBE-GGA",
  "state": "relaxed",
  "lattice_angstrom": [[1.989, -6.924, 0.000], [1.989, 6.924, 0.000], [0.000, 0.000, 19.240]],
  "species": ["Ac", "Ac", "Pr", "Pr", "Pr", "Pr", "Pr", "Pr", "Pr", "Pr", "Pr", "Pr", "Pt", "Pt", "Pt", "Pt"],
  "fractional_positions": [[0.198, 0.802, 0.750], [0.802, 0.198, 0.250], [0.071, 0.929, 0.250], [0.168, 0.832, 0.555], [0.168, 0.832, 0.945], [0.441, 0.559, 0.591], [0.441, 0.559, 0.909], [0.559, 0.441, 0.091], [0.559, 0.441, 0.409], [0.832, 0.168, 0.055], [0.832, 0.168, 0.445], [0.929, 0.071, 0.750], [0.212, 0.788, 0.132], [0.212, 0.788, 0.368], [0.788, 0.212, 0.632], [0.788, 0.212, 0.868]],
  "total_energy_ry_per_atom": -0.406,
  "e_form_ev_per_atom": -0.513,
  "vol_a3_per_cell": 530.1,
  "sg": "No. 63",
  "magmom_total_mub_per_atom": 0.00,
  "rho_g_cm3": 8.281
}